[1]
Crystalline LaIr2 at its relaxed geometry, computed with PBE.

Cell and atoms, written as POSCAR:
```
LaIr2
1.0
-2.633 6.194 4.377
-0.090 -7.180 -3.593
1.930 -2.074 4.096
Ir La
4 2
direct
0.582 0.418 0.250 Ir
0.772 0.228 0.750 Ir
0.418 0.582 0.750 Ir
0.228 0.772 0.250 Ir
0.902 0.098 0.250 La
0.098 0.902 0.750 La
```

Computed properties:
Space group: Cmcm
N(E_F) in states/eV per atom: 1.4184
Formation energy from the elements in eV per formula unit: 0.0
M_tot in μB per formula unit: 0.00



[2]
Crystalline Th6SnSb5 at its relaxed geometry, computed with PBE.

Cell and atoms, written as POSCAR:
```
Th6SnSb5
1.0
-6.496 -2.679 -3.440
1.555 -1.836 -7.428
2.374 -7.217 -1.823
Sb Th Sn
5 6 1
direct
0.500 0.833 0.335 Sb
0.000 0.333 0.333 Sb
0.000 0.667 0.667 Sb
0.500 0.500 0.000 Sb
0.500 0.167 0.665 Sb
0.249 0.917 0.668 Th
0.751 0.083 0.332 Th
0.249 0.585 0.332 Th
0.751 0.751 0.000 Th
0.249 0.249 0.000 Th
0.751 0.415 0.668 Th
0.000 0.000 0.000 Sn
```

Computed properties:
Space group: C2/m
N(E_F) in states/eV per atom: 0.6696
Formation energy without anion corrections in eV per atom: -0.843
M_tot in μB per formula unit: 0.00



[3]
Crystalline CuSi2Ru at its relaxed geometry, computed with PBE.

Cell and atoms, written as POSCAR:
```
CuSi2Ru
1.0
2.759 -0.076 0.000
-1.179 2.496 0.000
0.000 0.000 8.131
Si Cu Ru
2 1 1
direct
0.500 0.500 0.250 Si
0.000 0.000 0.993 Si
0.000 0.000 0.491 Cu
0.500 0.500 0.766 Ru
```

Computed properties:
Space group: Cmm2
N(E_F) in states/eV per atom: 0.5203
Formation energy without anion corrections in eV per atom: 0.246
M_tot in μB per formula unit: 0.00
Polymorph energy (0 for the lowest one) in kJ per mole of atoms: 51.0



[4]
Crystalline Pr3Mn4Sn4 at its relaxed geometry, computed with PBE.

Cell and atoms, written as POSCAR:
```
Pr3Mn4Sn4
1.0
8.776 0.008 -0.005
4.423 7.580 0.005
-5.648 -5.450 3.927
Mn Sn Pr
4 4 3
direct
0.487 0.673 0.813 Mn
0.140 0.327 0.813 Mn
0.513 0.327 0.187 Mn
0.860 0.673 0.187 Mn
0.284 0.784 0.500 Sn
0.800 0.500 0.300 Sn
0.200 0.500 0.700 Sn
0.716 0.216 0.500 Sn
0.128 0.128 0.000 Pr
0.500 0.000 0.500 Pr
0.872 0.872 0.000 Pr
```

Computed properties:
Space group: Immm
N(E_F) in states/eV per atom: 1.0163
Formation energy from the elements in eV per formula unit: -3.1
M_tot in μB per formula unit: 15.07



What did the second record say?
Crystalline Th6SnSb5 at its relaxed geometry, computed with PBE.

Cell and atoms, written as POSCAR:
```
Th6SnSb5
1.0
-6.496 -2.679 -3.440
1.555 -1.836 -7.428
2.374 -7.217 -1.823
Sb Th Sn
5 6 1
direct
0.500 0.833 0.335 Sb
0.000 0.333 0.333 Sb
0.000 0.667 0.667 Sb
0.500 0.500 0.000 Sb
0.500 0.167 0.665 Sb
0.249 0.917 0.668 Th
0.751 0.083 0.332 Th
0.249 0.585 0.332 Th
0.751 0.751 0.000 Th
0.249 0.249 0.000 Th
0.751 0.415 0.668 Th
0.000 0.000 0.000 Sn
```

Computed properties:
Space group: C2/m
N(E_F) in states/eV per atom: 0.6696
Formation energy without anion corrections in eV per atom: -0.843
M_tot in μB per formula unit: 0.00